VASP calculation (GGA-PBE) on a relaxed BaNaIn crystal.

Summary:
Total magnetic moment in μB/atom: 0.000
Space-group type: I4mm
Calculated total energy in eV/atom: -2.17
Energy relative to the lowest polymorph listed for this composition in meV/atom: 80
V in Å³/atom: 37.18

Unit cell a=6.639 b=6.639 c=6.639 alpha=141.71 beta=141.71 gamma=55.27
Atoms (fractional coordinates):
1 Ba 0.000 0.000 0.000
2 Na 0.701 0.701 0.000
3 In 0.327 0.327 0.000

VASP calculation (GGA-PBE) on a relaxed Ba2NaIn2 crystal.

Summary:
Total magnetic moment in μB/atom: 0.000
Space-group type: P4/mbm
Calculated total energy in eV/atom: -2.40
Energy relative to the lowest polymorph listed for this composition in meV/atom: 31
V in Å³/atom: 41.55

Unit cell a=9.610 b=9.610 c=4.499 alpha=90.00 beta=90.00 gamma=90.00
Atoms (fractional coordinates):
1 Ba 0.177 0.323 0.000
2 Ba 0.323 0.823 0.000
3 Ba 0.677 0.177 0.000
4 Ba 0.823 0.677 0.000
5 Na 0.000 0.000 0.500
6 Na 0.500 0.500 0.500
7 In 0.116 0.616 0.500
8 In 0.384 0.116 0.500
9 In 0.616 0.884 0.500
10 In 0.884 0.384 0.500

VASP calculation (GGA-PBE) on a relaxed BaNaIn crystal.

Summary:
Total magnetic moment in μB/atom: 0.000
Space-group type: C2/m
Calculated total energy in eV/atom: -2.23
Energy relative to the lowest polymorph listed for this composition in meV/atom: 18
V in Å³/atom: 37.66

Unit cell a=6.675 b=6.675 c=8.780 alpha=127.55 beta=127.55 gamma=51.74
Atoms (fractional coordinates):
1 Ba 0.243 0.243 0.294
2 Ba 0.757 0.757 0.706
3 Na 0.100 0.100 0.764
4 Na 0.900 0.900 0.236
5 In 0.477 0.477 0.143
6 In 0.523 0.523 0.857

VASP calculation (GGA-PBE) on a relaxed Ba12NaIn6 crystal.

Summary:
Total magnetic moment in μB/atom: 0.000
Space-group type: R-3
Calculated total energy in eV/atom: -2.25
V in Å³/atom: 55.95

Unit cell a=10.449 b=10.449 c=10.449 alpha=101.36 beta=101.36 gamma=101.36
Atoms (fractional coordinates):
1 Ba 0.052 0.337 0.907
2 Ba 0.093 0.948 0.663
3 Ba 0.176 0.568 0.434
4 Ba 0.337 0.907 0.052
5 Ba 0.432 0.566 0.824
6 Ba 0.434 0.176 0.568
7 Ba 0.566 0.824 0.432
8 Ba 0.568 0.434 0.176
9 Ba 0.663 0.093 0.948
10 Ba 0.824 0.432 0.566
11 Ba 0.907 0.052 0.337
12 Ba 0.948 0.663 0.093
13 Na 0.000 0.000 0.000
14 In 0.141 0.293 0.602
15 In 0.293 0.602 0.141
16 In 0.398 0.859 0.707
17 In 0.602 0.141 0.293
18 In 0.707 0.398 0.859
19 In 0.859 0.707 0.398

VASP calculation (GGA-PBE) on a relaxed Ba2NaIn2 crystal.

Summary:
Total magnetic moment in μB/atom: 0.000
Space-group type: P4/mbm
Calculated total energy in eV/atom: -2.30
Energy relative to the lowest polymorph listed for this composition in meV/atom: 126
V in Å³/atom: 40.00

Unit cell a=10.232 b=10.232 c=3.820 alpha=90.00 beta=90.00 gamma=90.00
Atoms (fractional coordinates):
1 Ba 0.179 0.321 0.000
2 Ba 0.321 0.821 0.000
3 Ba 0.679 0.179 0.000
4 Ba 0.821 0.679 0.000
5 Na 0.000 0.000 0.000
6 Na 0.500 0.500 0.000
7 In 0.113 0.613 0.500
8 In 0.387 0.113 0.500
9 In 0.613 0.887 0.500
10 In 0.887 0.387 0.500

VASP calculation (GGA-PBE) on a relaxed Ba2NaIn2 crystal.

Summary:
Total magnetic moment in μB/atom: 0.000
Space-group type: I4/mmm
Calculated total energy in eV/atom: -2.28
Energy relative to the lowest polymorph listed for this composition in meV/atom: 149
V in Å³/atom: 44.23

Unit cell a=6.756 b=6.756 c=6.756 alpha=119.01 beta=119.01 gamma=91.73
Atoms (fractional coordinates):
1 Ba 0.250 0.750 0.500
2 Ba 0.750 0.250 0.500
3 Na 0.000 0.000 0.000
4 In 0.353 0.353 0.000
5 In 0.647 0.647 0.000

VASP calculation (GGA-PBE) on a relaxed Ba2NaIn3 crystal.

Summary:
Total magnetic moment in μB/atom: 0.000
Space-group type: Cm
Calculated total energy in eV/atom: -2.57
V in Å³/atom: 35.32

Unit cell a=6.753 b=6.753 c=8.620 alpha=127.92 beta=127.92 gamma=46.49
Atoms (fractional coordinates):
1 Ba 0.000 0.000 0.000
2 Ba 0.084 0.084 0.586
3 Na 0.702 0.702 0.018
4 In 0.369 0.369 0.545
5 In 0.385 0.385 0.188
6 In 0.701 0.701 0.414

VASP calculation (GGA-PBE) on a relaxed BaNaIn crystal.

Summary:
Total magnetic moment in μB/atom: 0.000
Space-group type: P-6m2
Calculated total energy in eV/atom: -2.18
Energy relative to the lowest polymorph listed for this composition in meV/atom: 69
V in Å³/atom: 36.50

Unit cell a=5.697 b=5.697 c=3.896 alpha=90.00 beta=90.00 gamma=120.00
Atoms (fractional coordinates):
1 Ba 0.000 0.000 0.000
2 Na 0.333 0.667 0.500
3 In 0.667 0.333 0.500